(1)
The following is a GGA-PBE calculation of crystalline La2NdCuTe5 at its relaxed geometry, from Alexandria via LeMat-Bulk.

Output
- D(E_F): 0.01 states/eV/atom
- Formation energy (no corrections): -1.2979 eV per atom
- Density: 6.6 g cm⁻³

Lattice parameters (Å, degrees): 4.4087 9.9506 13.1721 90.00 90.00 102.80
With the nearest neighbours (Å) after each atom.
Element x y z (fractional)
La1 0.1094 0.2187 0.6851  8 Te 3.31-3.50
La2 0.8906 0.7813 0.1851  8 Te 3.31-3.50
La3 0.8797 0.7594 0.8107  6 Te 3.24-3.36
La4 0.1203 0.2406 0.3107  6 Te 3.24-3.36
Cu1 0.4299 0.8599 0.4552  4 Te 2.64-2.69
Cu2 0.5701 0.1401 0.9552  4 Te 2.64-2.69
Te1 0.3146 0.6292 0.3416  1 Cu 2.69
Te2 0.4993 0.9987 0.2824  1 Cu 2.64
Te3 0.3578 0.7157 0.0009  1 Nd 3.22, 4 La 3.34-3.36
Te4 0.0396 0.0792 0.0586  2 Cu 2.66
Te5 0.6854 0.3708 0.8416  1 Cu 2.69
Te6 0.7105 0.4209 0.1790  2 Nd 3.15, 3 La 3.31-3.50
Te7 0.6422 0.2843 0.5009  1 Nd 3.22, 4 La 3.34-3.36
Te8 0.5007 0.0013 0.7824  1 Cu 2.64
Te9 0.2895 0.5791 0.6790  2 Nd 3.15, 3 La 3.31-3.50
Te10 0.9604 0.9208 0.5586  2 Cu 2.66
Nd1 0.8081 0.6163 0.5105  6 Te 3.02-3.22, 2 Cu 3.31
Nd2 0.1919 0.3837 0.0105  6 Te 3.02-3.22, 2 Cu 3.31



(2)
The following is a GGA-PBE calculation of crystalline LaNd2Zn2Cu2 at its relaxed geometry, from Alexandria via LeMat-Bulk.

Output
- D(E_F): 0.92 states/eV/atom
- Formation energy from the elements: -0.2124 eV/atom
- Density: 6.8 g cm⁻³

Lattice parameters (Å, degrees): 4.4901 4.4901 9.9161 76.91 76.91 60.00
With the nearest neighbours (Å) after each atom.
Element x y z (fractional)
Zn1 0.7359 0.7359 0.7924  3 Cu 2.59
Zn2 0.2641 0.2641 0.2076  3 Cu 2.59
Nd1 0.1225 0.1225 0.6326  3 Zn 3.01, 3 Cu 3.05
Nd2 0.8775 0.8775 0.3674  3 Zn 3.01, 3 Cu 3.05
Cu1 0.4000 0.4000 0.7999  3 Zn 2.59
Cu2 0.6000 0.6000 0.2001  3 Zn 2.59
La1 0.0000 0.0000 0.0000  6 Cu 3.22, 6 Zn 3.27, 2 Nd 3.52



(3)
The following is a GGA-PBE calculation of crystalline LaNdZnCu at its relaxed geometry, from Alexandria via LeMat-Bulk.

Output
- D(E_F): 0.92 states/eV/atom
- Formation energy from the elements: -0.2191 eV/atom
- Density: 6.9 g cm⁻³
- Relative energy among the computed polymorphs: 0.00 eV per formula unit

Lattice parameters (Å, degrees): 3.6856 3.6856 7.3348 90.00 90.00 90.00
With the nearest neighbours (Å) after each atom.
Element x y z (fractional)
La1 0.5000 0.5000 0.1129  4 Cu 3.21, 4 Zn 3.25, 1 Nd 3.57
Cu1 0.0000 0.0000 0.3678  4 Nd 3.11, 4 La 3.21
Nd1 0.5000 0.5000 0.5997  4 Cu 3.11, 4 Zn 3.18
Zn1 0.0000 0.0000 0.8476  4 Nd 3.18, 4 La 3.25, 1 Cu 3.52



(4)
The following is a GGA-PBE calculation of crystalline LaNdZnCu at its relaxed geometry, from Alexandria via LeMat-Bulk.

Output
- D(E_F): 1.02 states/eV/atom
- Formation energy from the elements: -0.2090 eV/atom
- Density: 6.8 g cm⁻³
- Relative energy among the computed polymorphs: 0.04 eV per formula unit

Lattice parameters (Å, degrees): 5.2110 5.2110 5.2110 60.00 60.00 60.00
With the nearest neighbours (Å) after each atom.
Element x y z (fractional)
Nd1 0.0000 0.0000 0.0000  4 Zn 3.19, 4 Cu 3.19
Cu1 0.2500 0.2500 0.2500  4 Nd 3.19, 4 La 3.19
Zn1 0.7500 0.7500 0.7500  4 La 3.19, 4 Nd 3.19
La1 0.5000 0.5000 0.5000  4 Cu 3.19, 4 Zn 3.19



(5)
The following is a GGA-PBE calculation of crystalline LaCu2Ni3 at its relaxed geometry, from Alexandria via LeMat-Bulk.

Output
- D(E_F): 0.56 states/eV/atom
- Formation energy from the elements: -0.0607 eV/atom
- Density: 8.1 g cm⁻³

Lattice parameters (Å, degrees): 5.1037 5.1037 8.6024 72.74 72.74 60.00
With the nearest neighbours (Å) after each atom.
Element x y z (fractional)
Cu1 0.5000 0.5000 0.0000  4 Ni 2.50, 6 Cu 2.55
Cu2 0.0000 0.0000 0.0000  6 Ni 2.50, 6 Cu 2.55
Cu3 0.0000 0.5000 0.0000  4 Ni 2.50, 6 Cu 2.55
Cu4 0.5000 0.0000 0.0000  4 Ni 2.50, 6 Cu 2.55
La1 0.2060 0.2060 0.3820  6 Ni 2.77
La2 0.7940 0.7940 0.6180  6 Ni 2.77
Ni1 0.2485 0.7506 0.2502  3 Cu 2.50, 4 Ni 2.54-2.56, 2 La 2.77
Ni2 0.7506 0.7506 0.2502  3 Cu 2.50, 4 Ni 2.54-2.56, 2 La 2.77
Ni3 0.2494 0.2494 0.7498  3 Cu 2.50, 4 Ni 2.54-2.56, 2 La 2.77
Ni4 0.7506 0.2485 0.2502  3 Cu 2.50, 4 Ni 2.54-2.56, 2 La 2.77
Ni5 0.7515 0.2494 0.7498  3 Cu 2.50, 4 Ni 2.54-2.56, 2 La 2.77
Ni6 0.2494 0.7515 0.7498  3 Cu 2.50, 4 Ni 2.54-2.56, 2 La 2.77



(6)
The following is a GGA-PBE calculation of crystalline La2CuNi at its relaxed geometry, from Alexandria via LeMat-Bulk.

Output
- D(E_F): 0.93 states/eV/atom
- Formation energy from the elements: -0.1832 eV/atom
- Density: 7.1 g cm⁻³

Lattice parameters (Å, degrees): 8.0572 5.0874 3.6082 90.08 63.28 129.23
With the nearest neighbours (Å) after each atom.
Element x y z (fractional)
La1 0.5000 0.0000 0.5000  4 Ni 3.12, 4 Cu 3.12
La2 0.0000 0.0000 0.0000  4 Cu 3.12, 4 Ni 3.12
Ni1 0.0000 0.5000 0.5000  8 La 3.12
Cu1 0.5000 0.5000 0.0000  8 La 3.12



(7)
The following is a GGA-PBE calculation of crystalline LaCu6Ni4 at its relaxed geometry, from Alexandria via LeMat-Bulk.

Output
- D(E_F): 0.59 states/eV/atom
- Formation energy from the elements: 0.2099 eV/atom
- Density: 7.6 g cm⁻³

Lattice parameters (Å, degrees): 6.1473 6.1473 6.1473 90.11 119.93 119.93
With the nearest neighbours (Å) after each atom.
Element x y z (fractional)
Ni1 0.4368 0.8959 0.8959  4 Cu 2.29-2.45
Ni2 0.0000 0.1041 0.5410  4 Cu 2.29-2.45
Ni3 0.5632 0.4590 0.4590  4 Cu 2.29-2.45
Ni4 0.0000 0.5410 0.1041  4 Cu 2.29-2.45
La1 0.0000 0.0000 0.0000  4 Ni 2.89, 8 Cu 3.08-3.17
Cu1 0.5000 0.0000 0.5000  4 Cu 2.49, 4 Ni 2.68
Cu2 0.2958 0.5523 0.5523  4 Ni 2.29-2.45, 4 Cu 2.46-2.49
Cu3 0.0000 0.7435 0.4477  4 Ni 2.29-2.45, 4 Cu 2.46-2.49
Cu4 0.0000 0.4477 0.7435  4 Ni 2.29-2.45, 4 Cu 2.46-2.49
Cu5 0.7042 0.2565 0.2565  4 Ni 2.29-2.45, 4 Cu 2.46-2.49
Cu6 0.5000 0.5000 0.0000  4 Cu 2.49, 4 Ni 2.68



(8)
The following is a GGA-PBE calculation of crystalline La4CuNi at its relaxed geometry, from Alexandria via LeMat-Bulk.

Output
- D(E_F): 1.88 states/eV/atom
- Formation energy from the elements: 0.7558 eV/atom
- Density: 6.4 g cm⁻³
- Relative energy among the computed polymorphs: 5.44 eV per formula unit

Lattice parameters (Å, degrees): 6.2768 6.2768 6.2768 60.00 60.00 60.00
With the nearest neighbours (Å) after each atom.
Element x y z (fractional)
La1 0.3757 0.8730 0.3757  6 La 3.12-3.16
La2 0.3757 0.3757 0.8730  6 La 3.12-3.16
La3 0.8730 0.3757 0.3757  6 La 3.12-3.16
La4 0.3757 0.3757 0.3757  6 La 3.12-3.16
Cu1 0.0000 0.0000 0.0000  12 La 3.68, 4 Ni 3.84
Ni1 0.7500 0.7500 0.7500  12 La 3.68, 4 Cu 3.84



(9)
The following is a GGA-PBE calculation of crystalline La4CuNi at its relaxed geometry, from Alexandria via LeMat-Bulk.

Output
- D(E_F): 1.39 states/eV/atom
- Formation energy from the elements: -0.0809 eV/atom
- Density: 6.2 g cm⁻³
- Relative energy among the computed polymorphs: 0.42 eV per formula unit

Lattice parameters (Å, degrees): 7.2026 6.9988 8.6637 109.58 110.41 99.53
With the nearest neighbours (Å) after each atom.
Element x y z (fractional)
La1 0.9672 0.2878 0.0713  1 Ni 2.74, 1 Cu 2.97
La2 0.2100 0.9648 0.4208  2 Ni 2.78-2.97, 1 Cu 2.99
La3 0.2891 0.5439 0.5792  2 Ni 2.78-2.97, 1 Cu 2.99
La4 0.6041 0.7835 0.0713  1 Ni 2.74, 1 Cu 2.97
La5 0.0328 0.7122 0.9287  1 Ni 2.74, 1 Cu 2.97
La6 0.7900 0.0352 0.5792  2 Ni 2.78-2.97, 1 Cu 2.99
La7 0.7109 0.4561 0.4208  2 Ni 2.78-2.97, 1 Cu 2.99
La8 0.3959 0.2165 0.9287  1 Ni 2.74, 1 Cu 2.97
Cu1 0.6217 0.3717 0.7435  6 La 2.97-3.29
Cu2 0.3783 0.6283 0.2565  6 La 2.97-3.29
Ni1 0.9123 0.1623 0.3247  6 La 2.74-2.97
Ni2 0.0877 0.8377 0.6753  6 La 2.74-2.97



(10)
The following is a GGA-PBE calculation of crystalline LaCu10Ni2 at its relaxed geometry, from Alexandria via LeMat-Bulk.

Output
- D(E_F): 0.49 states/eV/atom
- Formation energy from the elements: -0.0833 eV/atom
- Density: 8.4 g cm⁻³

Lattice parameters (Å, degrees): 4.8688 6.4711 6.5108 81.91 68.04 67.90
With the nearest neighbours (Å) after each atom.
Element x y z (fractional)
Cu1 0.4988 0.2314 0.7709  2 Ni 2.45, 6 Cu 2.47-2.66
Cu2 0.0043 0.6403 0.3511  7 Cu 2.46-2.66, 2 Ni 2.59
Cu3 0.5012 0.7686 0.2291  2 Ni 2.45, 6 Cu 2.47-2.66
Cu4 0.3554 0.6403 0.6489  7 Cu 2.46-2.66, 2 Ni 2.59
Cu5 0.2698 0.2314 0.2291  2 Ni 2.45, 6 Cu 2.47-2.66
Cu6 0.0000 0.0000 0.5000  10 Cu 2.43-2.63
Cu7 0.5000 0.0000 0.5000  10 Cu 2.43-2.63
Cu8 0.6446 0.3597 0.3511  7 Cu 2.46-2.66, 2 Ni 2.59
Cu9 0.7302 0.7686 0.7709  2 Ni 2.45, 6 Cu 2.47-2.66
Cu10 0.9957 0.3597 0.6489  7 Cu 2.46-2.66, 2 Ni 2.59
Ni1 0.5000 0.5000 0.0000  2 Ni 2.43, 8 Cu 2.45-2.59
Ni2 0.0000 0.5000 0.0000  2 Ni 2.43, 8 Cu 2.45-2.59
La1 0.0000 0.0000 0.0000  16 Cu 3.02-3.26, 4 Ni 3.24



no.,total DFT energy (no corrections) (eV/atom),total magnetization (μB per cell)
1,-5.123,0.0
2,-3.813,0.0
3,-3.985,0.0
4,-3.975,0.0
5,-5.138,0.0
6,-5.116,0.0
7,-4.575,0.0
8,-4.175,0.0
9,-5.012,0.0
10,-4.503,0.0